Entry 1:
Ac2PmFeO6: optimized geometry, PBE with a Hubbard U.

Summary:
The value obtained for the uncorrected energy is -7.60 eV per atom.

abc: 5.9147 5.9147 5.9419
angles: 117.25 117.25 58.72
Closest atoms and distances in Å follow each position.
Fractional positions:
Ac 0.2419 0.2419 0.2236  5 O 2.46-2.62
Ac 0.7581 0.7581 0.7764  5 O 2.46-2.62
Pm 0.0000 0.0000 0.5000  6 O 2.32
Fe 0.5000 0.5000 0.0000  4 O 1.97
O 0.2019 0.6749 0.1650  1 Fe 1.97
O 0.2580 0.2580 0.6513  1 Fe 2.26, 1 Pm 2.32, 1 Ac 2.46
O 0.3251 0.7981 0.8350  1 Fe 1.97
O 0.6749 0.2019 0.1650  1 Fe 1.97
O 0.7420 0.7420 0.3487  1 Fe 2.26, 1 Pm 2.32, 1 Ac 2.46
O 0.7981 0.3251 0.8350  1 Fe 1.97

=====

Entry 2:
AcFePt2O8: optimized geometry, PBE with a Hubbard U.

Summary:
The value obtained for the uncorrected energy is -5.77 eV per atom.

abc: 5.3379 5.3379 6.2089
angles: 90.00 90.00 120.00
Closest atoms and distances in Å follow each position.
Fractional positions:
Ac 0.0000 0.0000 0.0000  6 O 2.80, 2 Fe 3.10
Fe 0.0000 0.0000 0.5000  6 O 2.00
Pt 0.3333 0.6667 0.4547  7 O 2.01-2.12
Pt 0.6667 0.3333 0.5453  7 O 2.01-2.12
O 0.0493 0.3522 0.6504  1 Fe 2.00, 2 Pt 2.01-2.10
O 0.3028 0.9507 0.6504  1 Fe 2.00, 2 Pt 2.01-2.10
O 0.3333 0.6667 0.1127  1 Pt 2.12
O 0.3522 0.3028 0.3496  1 Fe 2.00, 2 Pt 2.01-2.10
O 0.6478 0.6972 0.6504  1 Fe 2.00, 2 Pt 2.01-2.10
O 0.6667 0.3333 0.8873  1 Pt 2.12
O 0.6972 0.0493 0.3496  1 Fe 2.00, 2 Pt 2.01-2.10
O 0.9507 0.6478 0.3496  1 Fe 2.00, 2 Pt 2.01-2.10

=====

Entry 3:
AcFe2PtO8: optimized geometry, PBE with a Hubbard U.

Summary:
The value obtained for the uncorrected energy is -6.30 eV per atom.

abc: 5.1665 5.1665 7.0337
angles: 90.00 90.00 120.00
Closest atoms and distances in Å follow each position.
Fractional positions:
Ac 0.0000 0.0000 0.0000  12 O 2.75-2.99
Fe 0.3333 0.6667 0.7147  4 O 1.76-1.86
Fe 0.6667 0.3333 0.2853  4 O 1.76-1.86
Pt 0.0000 0.0000 0.5000  6 O 1.97
O 0.0053 0.7052 0.3242  1 Fe 1.86, 1 Pt 1.97
O 0.2948 0.3001 0.3242  1 Fe 1.86, 1 Pt 1.97
O 0.3001 0.0053 0.6758  1 Fe 1.86, 1 Pt 1.97
O 0.3333 0.6667 0.9654  1 Fe 1.76
O 0.6667 0.3333 0.0346  1 Fe 1.76
O 0.6999 0.9947 0.3242  1 Fe 1.86, 1 Pt 1.97
O 0.7052 0.6999 0.6758  1 Fe 1.86, 1 Pt 1.97
O 0.9947 0.2948 0.6758  1 Fe 1.86, 1 Pt 1.97

=====

Entry 4:
Ac2FePtO6: optimized geometry, PBE with a Hubbard U.

Summary:
The value obtained for the uncorrected energy is -7.06 eV per atom.

abc: 5.7223 5.7223 4.1184
angles: 90.00 90.00 90.00
Closest atoms and distances in Å follow each position.
Fractional positions:
Ac 0.0000 0.5000 0.0000  12 O 2.86-2.90
Ac 0.5000 0.0000 0.0000  12 O 2.86-2.90
Fe 0.0000 0.0000 0.5016  6 O 1.99-2.06
Pt 0.5000 0.5000 0.5027  6 O 2.05-2.06
O 0.0000 0.0000 0.0024  2 Fe 2.06
O 0.2464 0.2464 0.5035  1 Fe 1.99, 1 Pt 2.05
O 0.2464 0.7536 0.5035  1 Fe 1.99, 1 Pt 2.05
O 0.5000 0.5000 0.0027  2 Pt 2.06
O 0.7536 0.2464 0.5035  1 Fe 1.99, 1 Pt 2.05
O 0.7536 0.7536 0.5035  1 Fe 1.99, 1 Pt 2.05

=====

Entry 5:
Ac2FePtO8: optimized geometry, PBE with a Hubbard U.

Summary:
The value obtained for the uncorrected energy is -6.71 eV per atom.

abc: 4.9189 6.1728 6.2782
angles: 89.12 89.95 66.52
Closest atoms and distances in Å follow each position.
Fractional positions:
Ac 0.1871 0.1255 0.2506  4 O 2.43-2.57
Ac 0.8129 0.8745 0.7494  4 O 2.43-2.57
Fe 0.5000 0.5000 0.5000  6 O 1.87-2.01
Pt 0.5000 0.5000 0.0000  6 O 1.98-2.02
O 0.2330 0.5255 0.2505  1 Fe 2.01, 1 Pt 2.02
O 0.2585 0.4742 0.7500  1 Fe 2.01, 1 Pt 2.02
O 0.3263 0.8471 0.9568  1 Pt 1.98
O 0.3357 0.8281 0.5330  1 Fe 1.87
O 0.6643 0.1719 0.4670  1 Fe 1.87
O 0.6737 0.1529 0.0432  1 Pt 1.98
O 0.7415 0.5258 0.2500  1 Fe 2.01, 1 Pt 2.02
O 0.7670 0.4745 0.7495  1 Fe 2.01, 1 Pt 2.02

=====

Entry 6:
AcPu2FeO8: optimized geometry, PBE with a Hubbard U.

Summary:
The value obtained for the uncorrected energy is -9.09 eV per atom.

abc: 5.1143 7.0094 5.1231
angles: 90.00 93.66 90.00
Closest atoms and distances in Å follow each position.
Fractional positions:
Ac 0.0000 0.0000 0.0000  6 O 2.47
Pu 0.5000 0.2623 0.5000  6 O 2.02-2.23
Pu 0.5000 0.7377 0.5000  6 O 2.02-2.23
Fe 0.0000 0.5000 0.0000  6 O 2.14-2.38
O 0.2118 0.2807 0.2134  1 Pu 2.02, 1 Fe 2.14
O 0.2118 0.7193 0.2134  1 Pu 2.02, 1 Fe 2.14
O 0.3194 0.5000 0.6814  2 Pu 2.15, 1 Fe 2.38
O 0.3317 0.0000 0.6701  2 Pu 2.23, 1 Ac 2.47
O 0.6683 0.0000 0.3299  2 Pu 2.23, 1 Ac 2.47
O 0.6806 0.5000 0.3186  2 Pu 2.15, 1 Fe 2.38
O 0.7882 0.2807 0.7866  1 Pu 2.02, 1 Fe 2.14
O 0.7882 0.7193 0.7866  1 Pu 2.02, 1 Fe 2.14

=====

Entry 7:
AcPuFe2O8: optimized geometry, PBE with a Hubbard U.

Summary:
The value obtained for the uncorrected energy is -7.72 eV per atom.

abc: 6.1062 6.1062 6.1062
angles: 108.05 108.05 112.34
Closest atoms and distances in Å follow each position.
Fractional positions:
Ac 0.0000 0.0000 0.0000  8 O 2.39-2.64
Pu 0.2500 0.7500 0.5000  8 O 2.15-2.36
Fe 0.5000 0.5000 0.0000  4 O 1.92
Fe 0.7500 0.2500 0.5000  4 O 1.84
O 0.3214 0.1137 0.7923  1 Fe 1.92, 1 Pu 2.15
O 0.3214 0.5290 0.2077  1 Fe 1.92, 1 Pu 2.15
O 0.3777 0.0473 0.3304  1 Fe 1.84
O 0.4710 0.6786 0.7923  1 Fe 1.92, 1 Pu 2.15
O 0.7169 0.0473 0.6696  1 Fe 1.84
O 0.8863 0.6786 0.2077  1 Fe 1.92, 1 Pu 2.15
O 0.9527 0.2831 0.3304  1 Fe 1.84
O 0.9527 0.6223 0.6696  1 Fe 1.84

=====

Entry 8:
RbAc2Fe2O6: optimized geometry, PBE with a Hubbard U.

Summary:
The value obtained for the uncorrected energy is -6.74 eV per atom.

abc: 6.6213 6.6695 6.7882
angles: 101.28 112.46 113.42
Closest atoms and distances in Å follow each position.
Fractional positions:
Rb 0.0000 0.0000 0.0000  4 O 2.78-2.83
Ac 0.3614 0.3023 0.6618  6 O 2.48-2.63
Ac 0.6385 0.6977 0.3382  6 O 2.48-2.63
Fe 0.3195 0.7791 0.7740  3 O 1.86-1.89
Fe 0.6805 0.2209 0.2260  3 O 1.86-1.89
O 0.1088 0.8940 0.6498  1 Fe 1.86
O 0.3100 0.5812 0.9335  1 Fe 1.86
O 0.4887 0.7132 0.6233  1 Fe 1.89
O 0.5113 0.2868 0.3767  1 Fe 1.89
O 0.6900 0.4188 0.0665  1 Fe 1.86
O 0.8912 0.1060 0.3502  1 Fe 1.86

=====

Entry 9:
RbAc2FeO5: optimized geometry, PBE with a Hubbard U.

Summary:
The value obtained for the uncorrected energy is -6.84 eV per atom.

abc: 7.2084 7.2084 5.8815
angles: 90.00 90.00 90.00
Closest atoms and distances in Å follow each position.
Fractional positions:
Rb 0.0000 0.0000 0.0000  10 O 2.94-3.17
Rb 0.5000 0.5000 0.0000  10 O 2.94-3.17
Ac 0.1821 0.3179 0.5000  8 O 2.51-2.74
Ac 0.3179 0.8179 0.5000  8 O 2.51-2.74
Ac 0.6821 0.1821 0.5000  8 O 2.51-2.74
Ac 0.8179 0.6821 0.5000  8 O 2.51-2.74
Fe 0.0000 0.5000 0.0000  4 O 1.88
Fe 0.5000 0.0000 0.0000  4 O 1.88
O 0.0000 0.0000 0.5000  4 Ac 2.64, 2 Rb 2.94
O 0.1254 0.6254 0.2351  1 Fe 1.88
O 0.1254 0.6254 0.7649  1 Fe 1.88
O 0.3746 0.1254 0.2351  1 Fe 1.88
O 0.3746 0.1254 0.7649  1 Fe 1.88
O 0.5000 0.5000 0.5000  4 Ac 2.64, 2 Rb 2.94
O 0.6254 0.8746 0.2351  1 Fe 1.88
O 0.6254 0.8746 0.7649  1 Fe 1.88
O 0.8746 0.3746 0.2351  1 Fe 1.88
O 0.8746 0.3746 0.7649  1 Fe 1.88

=====

Entry 10:
Rb2AcFe2O6: optimized geometry, PBE with a Hubbard U.

Summary:
The value obtained for the uncorrected energy is -5.92 eV per atom.

abc: 7.3022 7.3022 7.3022
angles: 51.28 51.28 51.28
Closest atoms and distances in Å follow each position.
Fractional positions:
Rb 0.2110 0.2110 0.2110  9 O 3.06-3.24
Rb 0.7890 0.7890 0.7890  9 O 3.06-3.24
Ac 0.0000 0.0000 0.0000  6 O 2.47
Fe 0.4289 0.4289 0.4289  3 O 1.77
Fe 0.5711 0.5711 0.5711  3 O 1.77
O 0.2565 0.2565 0.7388  1 Fe 1.77
O 0.2565 0.7388 0.2565  1 Fe 1.77
O 0.2612 0.7435 0.7435  1 Fe 1.77
O 0.7388 0.2565 0.2565  1 Fe 1.77
O 0.7435 0.2612 0.7435  1 Fe 1.77
O 0.7435 0.7435 0.2612  1 Fe 1.77

=====

Entry 11:
Rb4Ac3FeO8: optimized geometry, PBE with a Hubbard U.

Summary:
The value obtained for the uncorrected energy is -5.98 eV per atom.

abc: 7.6160 7.6160 7.8353
angles: 117.21 117.21 57.63
Closest atoms and distances in Å follow each position.
Fractional positions:
Rb 0.0000 0.0000 0.0000  2 O 2.72
Rb 0.0000 0.5000 0.0000  6 O 2.91-3.22
Rb 0.5000 0.0000 0.0000  6 O 2.91-3.22
Rb 0.5000 0.5000 0.0000  6 O 2.96-3.23
Ac 0.0000 0.0000 0.5000  6 O 2.50-2.58
Ac 0.0000 0.5000 0.5000  6 O 2.47-2.63
Ac 0.5000 0.0000 0.5000  6 O 2.47-2.63
Fe 0.5000 0.5000 0.5000  4 O 2.07
O 0.2194 0.2194 0.6875  3 Ac 2.50-2.51
O 0.2344 0.2344 0.2760  2 Ac 2.47, 1 Rb 2.72
O 0.2709 0.6826 0.6568  1 Fe 2.07
O 0.3174 0.7291 0.3432  1 Fe 2.07
O 0.6826 0.2709 0.6568  1 Fe 2.07
O 0.7291 0.3174 0.3432  1 Fe 2.07
O 0.7656 0.7656 0.7240  2 Ac 2.47, 1 Rb 2.72
O 0.7806 0.7806 0.3125  3 Ac 2.50-2.51

=====

Entry 12:
Rb3Ac3FeO8: optimized geometry, PBE with a Hubbard U.

Summary:
The value obtained for the uncorrected energy is -6.20 eV per atom.

abc: 7.3921 7.3921 7.9100
angles: 118.01 118.01 60.15
Closest atoms and distances in Å follow each position.
Fractional positions:
Rb 0.0000 0.0000 0.0000  6 O 2.96-3.00
Rb 0.0000 0.5000 0.0000  6 O 2.98-3.00
Rb 0.5000 0.0000 0.0000  6 O 2.98-3.00
Ac 0.0000 0.5000 0.5000  6 O 2.48-2.56
Ac 0.5000 0.0000 0.5000  6 O 2.48-2.56
Ac 0.5000 0.5000 0.5000  6 O 2.48-2.54
Fe 0.0000 0.0000 0.5000  6 O 2.09-2.16
O 0.1949 0.1949 0.6621  1 Fe 2.09
O 0.2007 0.7652 0.6659  1 Fe 2.16
O 0.2348 0.7993 0.3341  1 Fe 2.16
O 0.2696 0.2696 0.3113  3 Ac 2.48
O 0.7304 0.7304 0.6887  3 Ac 2.48
O 0.7652 0.2007 0.6659  1 Fe 2.16
O 0.7993 0.2348 0.3341  1 Fe 2.16
O 0.8051 0.8051 0.3379  1 Fe 2.09

=====

Entry 13:
RbAc4Fe3O12: optimized geometry, PBE with a Hubbard U.

Summary:
The value obtained for the uncorrected energy is -6.83 eV per atom.

abc: 7.5808 7.5808 7.5808
angles: 109.47 109.47 109.47
Closest atoms and distances in Å follow each position.
Fractional positions:
Rb 0.0000 0.0000 0.0000  12 O 3.28
Ac 0.0000 0.0000 0.5000  6 O 2.51
Ac 0.0000 0.5000 0.0000  6 O 2.51
Ac 0.5000 0.0000 0.0000  6 O 2.51
Ac 0.5000 0.5000 0.5000  6 O 2.51
Fe 0.0000 0.5000 0.5000  4 O 1.87
Fe 0.5000 0.0000 0.5000  4 O 1.87
Fe 0.5000 0.5000 0.0000  4 O 1.87
O 0.1471 0.4917 0.3446  1 Fe 1.87
O 0.1471 0.8025 0.6554  1 Fe 1.87
O 0.1975 0.3446 0.8529  1 Fe 1.87
O 0.3446 0.1471 0.4917  1 Fe 1.87
O 0.3446 0.8529 0.1975  1 Fe 1.87
O 0.4917 0.3446 0.1471  1 Fe 1.87
O 0.5083 0.6554 0.8529  1 Fe 1.87
O 0.6554 0.1471 0.8025  1 Fe 1.87
O 0.6554 0.8529 0.5083  1 Fe 1.87
O 0.8025 0.6554 0.1471  1 Fe 1.87
O 0.8529 0.1975 0.3446  1 Fe 1.87
O 0.8529 0.5083 0.6554  1 Fe 1.87

=====

Entry 14:
Rb2AcFeO4: optimized geometry, PBE with a Hubbard U.

Summary:
The value obtained for the uncorrected energy is -5.77 eV per atom.

abc: 5.8921 5.8921 5.8921
angles: 114.05 114.05 100.65
Closest atoms and distances in Å follow each position.
Fractional positions:
Rb 0.0000 0.0000 0.0000  4 O 2.80
Rb 0.7500 0.2500 0.5000  8 O 3.02-3.07
Ac 0.2500 0.7500 0.5000  4 O 2.40
Fe 0.5000 0.5000 0.0000  4 O 1.90
O 0.2784 0.1966 0.6031  1 Fe 1.90
O 0.3246 0.7216 0.9182  1 Fe 1.90
O 0.5935 0.6754 0.3969  1 Fe 1.90
O 0.8034 0.4065 0.0819  1 Fe 1.90

=====

Entry 15:
AcFe2RhO6: optimized geometry, PBE with a Hubbard U.

Summary:
The value obtained for the uncorrected energy is -6.83 eV per atom.

abc: 5.4519 5.7404 8.0250
angles: 90.00 90.00 90.00
Closest atoms and distances in Å follow each position.
Fractional positions:
Ac 0.0000 0.0000 0.0000  2 O 2.29
Ac 0.5000 0.5000 0.5000  2 O 2.29
Fe 0.0000 0.5000 0.2051  6 O 2.04-2.23
Fe 0.0000 0.5000 0.7949  6 O 2.04-2.23
Fe 0.5000 0.0000 0.2949  6 O 2.04-2.23
Fe 0.5000 0.0000 0.7051  6 O 2.04-2.23
Rh 0.0000 0.0000 0.5000  6 O 1.96-2.13
Rh 0.5000 0.5000 0.0000  6 O 1.96-2.13
O 0.1692 0.2254 0.3230  2 Fe 2.06-2.23, 1 Rh 2.13
O 0.1692 0.2254 0.6770  2 Fe 2.06-2.23, 1 Rh 2.13
O 0.1690 0.3650 0.0000  1 Rh 1.96, 2 Fe 2.04
O 0.3308 0.7254 0.1770  2 Fe 2.06-2.23, 1 Rh 2.13
O 0.3308 0.7254 0.8230  2 Fe 2.06-2.23, 1 Rh 2.13
O 0.3310 0.8650 0.5000  1 Rh 1.96, 2 Fe 2.04
O 0.6690 0.1350 0.5000  1 Rh 1.96, 2 Fe 2.04
O 0.6692 0.2746 0.1770  2 Fe 2.06-2.23, 1 Rh 2.13
O 0.6692 0.2746 0.8230  2 Fe 2.06-2.23, 1 Rh 2.13
O 0.8310 0.6350 0.0000  1 Rh 1.96, 2 Fe 2.04
O 0.8308 0.7746 0.3230  2 Fe 2.06-2.23, 1 Rh 2.13
O 0.8308 0.7746 0.6770  2 Fe 2.06-2.23, 1 Rh 2.13

=====

Entry 16:
AcFeSO2: optimized geometry, PBE with a Hubbard U.

Summary:
The value obtained for the uncorrected energy is -6.67 eV per atom.

abc: 6.9318 6.9318 5.4125
angles: 90.00 90.00 133.15
Closest atoms and distances in Å follow each position.
Fractional positions:
Ac 0.1428 0.8572 0.7500  4 O 2.70
Ac 0.8572 0.1428 0.2500  4 O 2.70
Fe 0.4836 0.5164 0.7500  4 O 1.88
Fe 0.5164 0.4836 0.2500  4 O 1.88
S 0.2519 0.7481 0.2500  4 Ac 3.04-3.06, 1 Fe 3.37
S 0.7481 0.2519 0.7500  4 Ac 3.04-3.06, 1 Fe 3.37
O 0.2664 0.2664 0.0000  2 Fe 1.88
O 0.2664 0.2664 0.5000  2 Fe 1.88
O 0.7336 0.7336 0.0000  2 Fe 1.88
O 0.7336 0.7336 0.5000  2 Fe 1.88

=====

Entry 17:
Ac2FeSbO6: optimized geometry, PBE with a Hubbard U.

Summary:
The value obtained for the uncorrected energy is -7.02 eV per atom.

abc: 5.8956 5.8956 4.3042
angles: 90.00 90.00 90.00
Closest atoms and distances in Å follow each position.
Fractional positions:
Ac 0.0000 0.5000 0.0000  4 O 2.62
Ac 0.5000 0.0000 0.0000  4 O 2.62
Fe 0.0000 0.0000 0.5630  6 O 2.04-2.27
Sb 0.5000 0.5000 0.5660  6 O 2.09-2.21
O 0.0000 0.0000 0.0897  2 Fe 2.04-2.27
O 0.2522 0.2522 0.6313  1 Sb 2.09, 1 Fe 2.12
O 0.2522 0.7478 0.6313  1 Sb 2.09, 1 Fe 2.12
O 0.5000 0.5000 0.0793  2 Sb 2.09-2.21
O 0.7478 0.2522 0.6313  1 Sb 2.09, 1 Fe 2.12
O 0.7478 0.7478 0.6313  1 Sb 2.09, 1 Fe 2.12

=====

Entry 18:
AcFe2SbO8: optimized geometry, PBE with a Hubbard U.

Summary:
The value obtained for the uncorrected energy is -6.44 eV per atom.

abc: 5.3826 5.3826 6.9723
angles: 90.00 90.00 120.00
Closest atoms and distances in Å follow each position.
Fractional positions:
Ac 0.0000 0.0000 0.0000  6 O 2.71
Fe 0.3333 0.6667 0.7245  4 O 1.74-1.86
Fe 0.6667 0.3333 0.2755  4 O 1.74-1.86
Sb 0.0000 0.0000 0.5000  6 O 2.00
O 0.0269 0.3000 0.6812  1 Fe 1.86, 1 Sb 2.00
O 0.2731 0.9731 0.6812  1 Fe 1.86, 1 Sb 2.00
O 0.3000 0.2731 0.3188  1 Fe 1.86, 1 Sb 2.00
O 0.3333 0.6667 0.9739  1 Fe 1.74
O 0.6667 0.3333 0.0261  1 Fe 1.74
O 0.7000 0.7269 0.6812  1 Fe 1.86, 1 Sb 2.00
O 0.7269 0.0269 0.3188  1 Fe 1.86, 1 Sb 2.00
O 0.9731 0.7000 0.3188  1 Fe 1.86, 1 Sb 2.00

=====

Entry 19:
AcFeSbO6: optimized geometry, PBE with a Hubbard U.

Summary:
The value obtained for the uncorrected energy is -6.75 eV per atom.

abc: 5.2110 5.2110 10.8007
angles: 90.00 90.00 120.00
Closest atoms and distances in Å follow each position.
Fractional positions:
Ac 0.0000 0.0000 0.0000  6 O 2.54
Ac 0.0000 0.0000 0.5000  6 O 2.54
Fe 0.3333 0.6667 0.2500  6 O 1.93
Fe 0.6667 0.3333 0.7500  6 O 1.93
Sb 0.3333 0.6667 0.7500  6 O 2.01
Sb 0.6667 0.3333 0.2500  6 O 2.01
O 0.0112 0.3866 0.1472  1 Fe 1.93, 1 Sb 2.01
O 0.0112 0.6246 0.3528  1 Fe 1.93, 1 Sb 2.01
O 0.3754 0.3866 0.3528  1 Fe 1.93, 1 Sb 2.01
O 0.3754 0.9888 0.1472  1 Fe 1.93, 1 Sb 2.01
O 0.3866 0.0112 0.6472  1 Fe 1.93, 1 Sb 2.01
O 0.3866 0.3754 0.8528  1 Fe 1.93, 1 Sb 2.01
O 0.6134 0.6246 0.1472  1 Fe 1.93, 1 Sb 2.01
O 0.6134 0.9888 0.3528  1 Fe 1.93, 1 Sb 2.01
O 0.6246 0.0112 0.8528  1 Fe 1.93, 1 Sb 2.01
O 0.6246 0.6134 0.6472  1 Fe 1.93, 1 Sb 2.01
O 0.9888 0.3754 0.6472  1 Fe 1.93, 1 Sb 2.01
O 0.9888 0.6134 0.8528  1 Fe 1.93, 1 Sb 2.01